# 1
Entry from Alexandria: an optimized crystal structure of CaMn2Zn (PBE).

Cell lengths 4.688, 4.688, 4.688 Å; angles 119.40, 120.72, 89.90 degrees
Sites, in units of the cell vectors:
Mn  0.007  0.007  0.000
Ca  0.250  0.750  0.500
Zn  0.494  0.494  0.000
Mn  0.748  0.248  0.500

## Properties
**Energy relative to the elements**: 0.29 eV per atom
**Fermi-level density of states**: 0.531 states/eV/atom
**Space-group type**: Imm2 (44)

=====

# 2
Entry from Alexandria: an optimized crystal structure of CaMn2Zn (PBE).

Cell lengths 5.660, 5.660, 2.911 Å; angles 76.52, 76.52, 117.81 degrees
Sites, in units of the cell vectors:
Mn  0.000  0.000  0.000
Zn  0.500  0.000  0.500
Ca  0.000  0.500  0.500
Mn  0.500  0.500  0.000

## Properties
**Energy relative to the elements**: 0.52 eV per atom
**Fermi-level density of states**: 1.029 states/eV/atom
**Space-group type**: C2/m (12)

=====

# 3
Entry from Alexandria: an optimized crystal structure of CaMn2Zn (PBE).

Cell lengths 4.353, 4.353, 9.518 Å; angles 76.78, 76.78, 90.00 degrees
Sites, in units of the cell vectors:
Zn  0.750  0.250  0.500
Mn  0.875  0.625  0.250
Mn  0.875  0.125  0.250
Zn  0.000  0.000  0.000
Ca  0.500  0.500  0.000
Ca  0.250  0.750  0.500
Mn  0.375  0.125  0.750
Mn  0.875  0.125  0.750

## Properties
**Energy relative to the elements**: 0.59 eV per atom
**Fermi-level density of states**: 0.718 states/eV/atom
**Space-group type**: I4_1/amd (141)

=====

What did the first record say?
Entry from Alexandria: an optimized crystal structure of CaMn2Zn (PBE).

Cell lengths 4.688, 4.688, 4.688 Å; angles 119.40, 120.72, 89.90 degrees
Sites, in units of the cell vectors:
Mn  0.007  0.007  0.000
Ca  0.250  0.750  0.500
Zn  0.494  0.494  0.000
Mn  0.748  0.248  0.500

## Properties
**Energy relative to the elements**: 0.29 eV per atom
**Fermi-level density of states**: 0.531 states/eV/atom
**Space-group type**: Imm2 (44)

=====

- Which value of energy relative to the elements does entry 3 give?
  0.59 eV per atom